Computed, not measured: TaTlF3 after structural relaxation at the PBEsol level of DFT.

Unit cell a=4.293 b=4.293 c=4.293 alpha=90.00 beta=90.00 gamma=90.00
Fractional positions:
1 F 0.500 0.000 0.000
2 F 0.000 0.000 0.500
3 F 0.000 0.500 0.000
4 Tl 0.500 0.500 0.500
5 Ta 0.000 0.000 0.000

Calculated values
Size of the total moment ... 2.65 μB per cell
Symmetry ... Pm-3m, No. 221
Calculated total energy ... -28.98 eV/f.u.
ΔE_f (raw) ... -1603 meV/atom

Computed, not measured: TlCrTe2 after structural relaxation at the PBEsol level of DFT.

Unit cell a=4.012 b=4.012 c=7.774 alpha=90.00 beta=90.00 gamma=120.00
Fractional positions:
1 Cr 0.000 0.000 0.500
2 Te 0.333 0.667 0.317
3 Te 0.667 0.333 0.683
4 Tl 0.000 0.000 0.000

Calculated values
Size of the total moment ... 3.02 μB per cell
Symmetry ... P-3m1, No. 164
Calculated total energy ... -20.65 eV/f.u.
ΔE_f (raw) ... -181 meV/atom

Computed, not measured: Re2NiBr after structural relaxation at the PBEsol level of DFT.

Unit cell a=3.065 b=4.090 c=5.531 alpha=111.67 beta=106.05 gamma=90.08
Fractional positions:
1 Re 0.000 0.500 0.500
2 Re 0.500 0.000 0.500
3 Ni 0.500 0.000 0.000
4 Br 0.000 0.500 0.000

Calculated values
Energy relative to the lowest polymorph listed for this composition ... 547.9 meV/atom
Size of the total moment ... 0.00 μB per cell
Symmetry ... C2/m, No. 12
Calculated total energy ... -30.48 eV/f.u.
ΔE_f (raw) ... 1052 meV/atom